P) The following is a PBE-GGA calculation of a geometry-optimized RbTa3F structure, from the Alexandria database.

DOS at the Fermi energy ... 6.300 states/eV per cell
Total moment ... 0.0 Bohr magnetons per cell

abc: 4.8640 4.8640 4.8640
angles: 90.00 90.00 90.00
Atoms (fractional coordinates):
F: 0.5000 0.5000 0.5000
Ta: 0.0000 0.0000 0.5000
Ta: 0.5000 0.0000 0.0000
Rb: 0.0000 0.0000 0.0000
Ta: 0.0000 0.5000 0.0000

=====

Q) The following is a PBE-GGA calculation of a geometry-optimized RbTa3F structure, from the Alexandria database.

DOS at the Fermi energy ... 5.609 states/eV per cell
Total moment ... 0.0 Bohr magnetons per cell

abc: 4.6166 4.6166 4.6166
angles: 90.00 90.00 90.00
Atoms (fractional coordinates):
F: 0.0000 0.0000 0.0000
Ta: 0.0000 0.0000 0.5000
Rb: 0.5000 0.5000 0.5000
Ta: 0.0000 0.5000 0.0000
Ta: 0.5000 0.0000 0.0000

=====

Which one sits at the bottom of the stability order? P) does.

=====

P) The following is a PBE-GGA calculation of a geometry-optimized Rb3TaF12 structure, from the Alexandria database.

Total moment ... 4.1 Bohr magnetons per cell

abc: 8.4425 8.4425 7.5507
angles: 93.81 93.81 123.19
Each line ends with the local moment (μB).
Atoms (fractional coordinates):
F: 0.0695 0.2309 0.8905  0.02
F: 0.8684 0.2708 0.2752  0.58
F: 0.7756 0.9269 0.7905  0.34
F: 0.1316 0.7292 0.7248  0.58
F: 0.7691 0.9305 0.1095  0.02
F: 0.2244 0.0731 0.2095  0.34
Rb: 0.0000 0.0000 0.5000  0.00
Rb: 0.0000 0.5000 0.0000  0.00
F: 0.9305 0.7691 0.1095  0.02
Ta: 0.0000 0.0000 0.0000  -0.02
Rb: 0.5000 0.0000 0.0000  0.00
F: 0.0731 0.2244 0.2095  0.34
F: 0.2708 0.8684 0.2752  0.58
F: 0.2309 0.0695 0.8905  0.02
F: 0.9269 0.7756 0.7905  0.34
F: 0.7292 0.1316 0.7248  0.58

=====

Q) The following is a PBE-GGA calculation of a geometry-optimized Rb3TaF12 structure, from the Alexandria database.

Total moment ... 4.1 Bohr magnetons per cell

abc: 8.6295 8.6295 7.4055
angles: 99.62 99.62 121.94
Each line ends with the local moment (μB).
Atoms (fractional coordinates):
F: 0.0636 0.2224 0.9090  0.01
F: 0.7776 0.9364 0.0910  0.01
Rb: 0.0000 0.5000 0.0000  0.00
F: 0.9121 0.7647 0.7579  0.35
F: 0.7647 0.9121 0.7579  0.35
Rb: 0.0000 0.0000 0.5000  0.00
F: 0.8987 0.3051 0.2756  0.58
F: 0.0879 0.2353 0.2421  0.35
F: 0.1013 0.6949 0.7244  0.58
F: 0.6949 0.1013 0.7244  0.58
F: 0.9364 0.7776 0.0910  0.01
F: 0.2224 0.0636 0.9090  0.01
Ta: 0.0000 0.0000 0.0000  -0.02
F: 0.3051 0.8987 0.2756  0.58
Rb: 0.5000 0.0000 0.0000  0.00
F: 0.2353 0.0879 0.2421  0.35

=====

Which one sits at the bottom of the stability order? P) does.

=====

P) The following is a PBE-GGA calculation of a geometry-optimized RbTcF2 structure, from the Alexandria database.

DOS at the Fermi energy ... 1.497 states/eV per cell
Total moment ... 3.0 Bohr magnetons per cell

abc: 7.8737 7.8737 7.8737
angles: 25.24 25.24 25.24
Each line ends with the local moment (μB).
Atoms (fractional coordinates):
Rb: 0.5000 0.5000 0.5000  0.00
Tc: 0.0000 0.0000 0.0000  2.60
F: 0.0884 0.0884 0.0884  0.06
F: 0.9116 0.9116 0.9116  0.06

=====

Q) The following is a PBE-GGA calculation of a geometry-optimized RbTcF2 structure, from the Alexandria database.

DOS at the Fermi energy ... 8.196 states/eV per cell
Total moment ... 8.6 Bohr magnetons per cell

abc: 5.2958 5.2958 7.7431
angles: 70.00 70.00 90.00
Each line ends with the local moment (μB).
Atoms (fractional coordinates):
F: 0.8750 0.9784 0.7500  0.09
Tc: 0.0000 0.0000 0.0000  3.53
F: 0.0216 0.6250 0.2500  0.10
Rb: 0.2500 0.7500 0.5000  0.01
Tc: 0.7500 0.2500 0.5000  3.53
F: 0.7284 0.1250 0.2500  0.10
Rb: 0.5000 0.5000 0.0000  0.01
F: 0.3750 0.2716 0.7500  0.09

=====

Which one sits at the bottom of the stability order? Q) does.

=====

P) The following is a PBE-GGA calculation of a geometry-optimized RbTcF6 structure, from the Alexandria database.

DOS at the Fermi energy ... 10.305 states/eV per cell
Total moment ... 2.0 Bohr magnetons per cell

abc: 5.2420 5.2420 5.2576
angles: 82.73 82.73 97.39
Each line ends with the local moment (μB).
Atoms (fractional coordinates):
Rb: 0.5000 0.5000 0.5000  0.00
F: 0.2553 0.9159 0.7445  0.05
F: 0.7447 0.0841 0.2555  0.05
F: 0.2566 0.2566 0.0822  0.05
Tc: 0.0000 0.0000 0.0000  1.58
F: 0.7434 0.7434 0.9178  0.05
F: 0.9159 0.2553 0.7445  0.05
F: 0.0841 0.7447 0.2555  0.05

=====

Q) The following is a PBE-GGA calculation of a geometry-optimized RbTcF6 structure, from the Alexandria database.

DOS at the Fermi energy ... 9.590 states/eV per cell
Total moment ... 2.0 Bohr magnetons per cell

abc: 5.6336 5.6336 6.1692
angles: 62.83 62.83 60.00
Each line ends with the local moment (μB).
Atoms (fractional coordinates):
F: 0.0872 0.6126 0.2130  0.05
F: 0.9128 0.9128 0.7870  0.05
F: 0.9128 0.3874 0.7870  0.05
F: 0.6126 0.0872 0.2130  0.05
F: 0.3874 0.9128 0.7870  0.05
F: 0.0872 0.0872 0.2130  0.05
Tc: 0.0000 0.0000 0.0000  1.58
Rb: 0.5000 0.5000 0.5000  0.00

=====

Which one sits at the bottom of the stability order? Q) does.